Na2SmCoF8: relaxed, GGA+U.

Raw total energy ... -5.20 eV per atom
Density ... 3.93 g cm⁻³
V ... 14.3 A^3/atom
Symmetry ... No. 10

a b c (Å): 4.6448 6.9179 5.3563
angles (deg): 90.00 91.29 90.00
Element x y z (fractional)
Na  0.0000  0.2370  0.0000
Na  0.0000  0.7630  0.0000
Sm  0.5000  0.5000  0.5000
Co  0.5000  0.0000  0.5000
F  0.1241  0.5000  0.2396
F  0.1942  0.0000  0.2777
F  0.3472  0.2228  0.7010
F  0.3472  0.7772  0.7010
F  0.6528  0.2228  0.2990
F  0.6528  0.7772  0.2990
F  0.8058  0.0000  0.7223
F  0.8759  0.5000  0.7604